1.
Below is a relaxed structure of Te3PtN, with properties calculated at the PBE level.

```
data_Te3PtN
_cell_length_a 5.258
_cell_length_b 5.258
_cell_length_c 5.258
_cell_angle_alpha 90.00
_cell_angle_beta 90.00
_cell_angle_gamma 90.00
_symmetry_space_group_name_H-M 'P m -3 m'
_symmetry_Int_Tables_number 221
_symmetry_space_group_name_Hall '-P 4 2 3'
loop_
_atom_site_label
_atom_site_fract_x
_atom_site_fract_y
_atom_site_fract_z
Te1 0.000 0.000 0.500
Pt1 0.000 0.000 0.000
N1 0.500 0.500 0.500
```

- D(E_F): 8.9 states/eV/cell
- Total DFT energy (no corrections): -15.694 eV for the cell shown
- Energy relative to the lowest polymorph listed for this composition: 0.683 eV per atom
- Crystal system: cubic



2.
Below is a relaxed structure of TePt2N, with properties calculated at the PBE level.

```
data_TePt2N
_cell_length_a 6.304
_cell_length_b 6.304
_cell_length_c 6.304
_cell_angle_alpha 90.00
_cell_angle_beta 90.00
_cell_angle_gamma 90.00
_symmetry_space_group_name_H-M 'F m -3 m'
_symmetry_Int_Tables_number 225
_symmetry_space_group_name_Hall '-F 4 2 3'
loop_
_atom_site_label
_atom_site_fract_x
_atom_site_fract_y
_atom_site_fract_z
Te1 0.000 0.000 0.000
Pt1 0.250 0.250 0.250
N1 0.000 0.000 0.500
```

- D(E_F): 6.4 states/eV/cell
- Total DFT energy (no corrections): -78.153 eV for the cell shown
- Energy relative to the lowest polymorph listed for this composition: 0.679 eV per atom
- Crystal system: cubic



3.
Below is a relaxed structure of TePtN, with properties calculated at the PBE level.

```
data_TePtN
_cell_length_a 7.425
_cell_length_b 8.306
_cell_length_c 4.910
_cell_angle_alpha 90.00
_cell_angle_beta 110.83
_cell_angle_gamma 90.00
_symmetry_space_group_name_H-M 'C 1 2/m 1'
_symmetry_Int_Tables_number 12
loop_
_symmetry_equiv_pos_as_xyz
'x,y,z'
'-x,-y,-z'
'-x,y,-z'
'x,-y,z'
'x+1/2,y+1/2,z'
'-x+1/2,-y+1/2,-z'
'-x+1/2,y+1/2,-z'
'x+1/2,-y+1/2,z'
loop_
_atom_site_label
_atom_site_fract_x
_atom_site_fract_y
_atom_site_fract_z
Te1 0.201 0.000 0.129
Pt1 0.250 0.250 0.500
N1 0.000 0.247 0.500
```

- D(E_F): 1.5 states/eV/cell
- Total DFT energy (no corrections): -64.296 eV for the cell shown
- Crystal system: monoclinic



4.
Below is a relaxed structure of TePt2N, with properties calculated at the PBE level.

```
data_TePt2N
_cell_length_a 4.903
_cell_length_b 4.903
_cell_length_c 12.383
_cell_angle_alpha 90.00
_cell_angle_beta 90.00
_cell_angle_gamma 90.00
_symmetry_space_group_name_H-M 'I -4 2 d'
_symmetry_Int_Tables_number 122
_symmetry_space_group_name_Hall 'I -4 2bw'
loop_
_atom_site_label
_atom_site_fract_x
_atom_site_fract_y
_atom_site_fract_z
Te1 0.000 0.000 0.000
Pt1 0.120 0.250 0.625
N1 0.000 0.000 0.500
```

- D(E_F): 3.4 states/eV/cell
- Total DFT energy (no corrections): -89.013 eV for the cell shown
- Energy relative to the lowest polymorph listed for this composition: 0.000 eV per atom
- Crystal system: tetragonal



5.
Below is a relaxed structure of TlTe2PtN, with properties calculated at the PBE level.

```
data_TlTe2PtN
_cell_length_a 5.800
_cell_length_b 5.800
_cell_length_c 4.047
_cell_angle_alpha 90.00
_cell_angle_beta 90.00
_cell_angle_gamma 90.00
_symmetry_space_group_name_H-M 'P 4/m m m'
_symmetry_Int_Tables_number 123
_symmetry_space_group_name_Hall '-P 4 2'
loop_
_atom_site_label
_atom_site_fract_x
_atom_site_fract_y
_atom_site_fract_z
Tl1 0.000 0.000 0.000
Te1 0.000 0.500 0.000
Pt1 0.500 0.500 0.500
N1 0.000 0.000 0.500
```

- D(E_F): 5.3 states/eV/cell
- Total DFT energy (no corrections): -15.106 eV for the cell shown
- Energy relative to the lowest polymorph listed for this composition: 1.273 eV per atom
- Crystal system: tetragonal



6.
Below is a relaxed structure of TlTe2PtN, with properties calculated at the PBE level.

```
data_TlTe2PtN
_cell_length_a 5.867
_cell_length_b 5.867
_cell_length_c 3.688
_cell_angle_alpha 90.00
_cell_angle_beta 90.00
_cell_angle_gamma 90.00
_symmetry_space_group_name_H-M 'P 4/m m m'
_symmetry_Int_Tables_number 123
_symmetry_space_group_name_Hall '-P 4 2'
loop_
_atom_site_label
_atom_site_fract_x
_atom_site_fract_y
_atom_site_fract_z
Tl1 0.000 0.000 0.000
Te1 0.000 0.500 0.500
Pt1 0.500 0.500 0.500
N1 0.500 0.500 0.000
```

- D(E_F): 4.3 states/eV/cell
- Total DFT energy (no corrections): -21.470 eV for the cell shown
- Energy relative to the lowest polymorph listed for this composition: 0.000 eV per atom
- Crystal system: tetragonal



7.
Below is a relaxed structure of VTe2PtN, with properties calculated at the PBE level.

```
data_VTe2PtN
_cell_length_a 5.275
_cell_length_b 5.275
_cell_length_c 3.567
_cell_angle_alpha 90.00
_cell_angle_beta 90.00
_cell_angle_gamma 90.00
_symmetry_space_group_name_H-M 'P 4/m m m'
_symmetry_Int_Tables_number 123
_symmetry_space_group_name_Hall '-P 4 2'
loop_
_atom_site_label
_atom_site_fract_x
_atom_site_fract_y
_atom_site_fract_z
V1 0.000 0.000 0.000
Te1 0.000 0.500 0.000
Pt1 0.500 0.500 0.500
N1 0.000 0.000 0.500
```

- D(E_F): 3.0 states/eV/cell
- Total DFT energy (no corrections): -28.464 eV for the cell shown
- Energy relative to the lowest polymorph listed for this composition: 0.000 eV per atom
- Crystal system: tetragonal



8.
Below is a relaxed structure of VTe2PtN, with properties calculated at the PBE level.

```
data_VTe2PtN
_cell_length_a 5.558
_cell_length_b 5.558
_cell_length_c 3.671
_cell_angle_alpha 90.00
_cell_angle_beta 90.00
_cell_angle_gamma 90.00
_symmetry_space_group_name_H-M 'P 4/m m m'
_symmetry_Int_Tables_number 123
_symmetry_space_group_name_Hall '-P 4 2'
loop_
_atom_site_label
_atom_site_fract_x
_atom_site_fract_y
_atom_site_fract_z
V1 0.000 0.000 0.000
Te1 0.000 0.500 0.500
Pt1 0.500 0.500 0.500
N1 0.500 0.500 0.000
```

- D(E_F): 5.0 states/eV/cell
- Total DFT energy (no corrections): -26.666 eV for the cell shown
- Energy relative to the lowest polymorph listed for this composition: 0.360 eV per atom
- Crystal system: tetragonal